V2Ga4O9 | PBE with a Hubbard U | relaxed

Output
VASP energy: -199.9 eV for the cell shown
space-group type: No. 15

Structure (POSCAR):
```
V2Ga4O9
1.0
5.0931 0.0001 0.0109
2.5456 4.4128 0.0281
-0.0284 -0.0682 13.7723
Ga O V
8 18 4
direct
0.6674 0.6662 0.8133
0.6666 0.6666 0.0219
0.3326 0.3338 0.1867
0.3340 0.3332 0.6867
0.6660 0.6668 0.3133
0.3332 0.3334 0.4781
0.3334 0.3334 0.9781
0.6667 0.6666 0.5219
0.9705 0.6616 0.9177
0.6322 0.3382 0.5823
0.3074 0.6929 0.7500
0.9994 0.6936 0.2500
0.6618 0.3680 0.9177
0.3387 0.0294 0.5824
0.6926 0.3071 0.2500
0.3059 0.0003 0.2500
0.0298 0.6319 0.5823
0.3678 0.6618 0.4177
0.0006 0.3064 0.7500
0.9702 0.3681 0.4177
0.6941 0.9997 0.7500
0.3382 0.6320 0.0823
0.0295 0.3384 0.0823
0.6318 0.0296 0.0824
0.6613 0.9706 0.4176
0.3682 0.9704 0.9176
0.0005 0.9999 0.8539
0.9995 0.0001 0.1461
0.9994 0.0004 0.3539
0.0006 0.9996 0.6461
```